Here is a geometry-optimized TiZn3Ge structure from Alexandria via LeMat-Bulk. Energies are from PBE.

## Properties
E above lowest polymorph = 0 meV per atom

Structure (extended XYZ):
```
5
Lattice="4.683 0.000 0.000 0.000 4.683 0.000 0.000 0.000 4.683" Properties=species:S:1:pos:R:3 pbc="T T T"
Zn 0.000 2.342 0.000
Zn 2.342 0.000 0.000
Zn 0.000 0.000 2.342
Ti 2.342 2.342 2.342
Ge 0.000 0.000 0.000
```



Here is a geometry-optimized TiZnGe3 structure from Alexandria via LeMat-Bulk. Energies are from PBE.

## Properties
E above lowest polymorph = 0 meV per atom

Structure (extended XYZ):
```
5
Lattice="4.928 0.000 0.000 0.000 4.928 0.000 0.000 0.000 4.928" Properties=species:S:1:pos:R:3 pbc="T T T"
Ge 0.000 0.000 2.464
Ge 0.000 2.464 0.000
Ge 2.464 0.000 0.000
Zn 2.464 2.464 2.464
Ti 0.000 0.000 0.000
```



Here is a geometry-optimized Ti3Zn3Ge structure from Alexandria via LeMat-Bulk. Energies are from PBE.

## Properties
calculated total energy = -4.816 eV per atom

Structure (extended XYZ):
```
28
Lattice="7.545 0.000 4.356 2.515 7.114 4.356 0.000 0.000 8.713" Properties=species:S:1:pos:R:3 pbc="T T T"
Ti 3.660 0.159 2.373
Ti 7.770 5.494 8.713
Ti 3.660 5.494 11.086
Ti 2.290 1.619 8.713
Ti 1.370 3.398 6.340
Ti 6.400 1.619 6.340
Ti 3.660 0.159 6.340
Ti 6.400 1.619 11.086
Ti 0.225 0.159 4.356
Ti 1.370 3.398 2.373
Ti 3.660 5.494 6.340
Ti 4.805 3.398 4.356
Zn 5.742 5.973 13.069
Zn 5.030 5.470 8.713
Zn 5.030 0.889 8.713
Zn 8.447 5.973 14.631
Zn 6.834 2.919 8.713
Zn 4.129 2.919 7.151
Zn 6.288 4.446 6.535
Zn 4.129 2.919 10.274
Zn 6.288 4.446 10.891
Zn 8.447 5.973 11.507
Zn 7.545 3.423 13.069
Zn 2.515 4.446 8.713
Ge 1.258 0.889 2.178
Ge 1.258 0.889 6.535
Ge 2.515 4.446 4.356
Ge 5.030 0.889 4.356
```



no.,mass density (g/cm3),D(E_F) (states/eV/atom)
1,5.1,1.319
2,4.6,0.425
3,5.9,0.570